[1]
{"formula": "Sr2AgP3Pd4", "functional": "GGA-PBE", "state": "optimized geometry", "final_energy_ev_per_atom": -4.99, "formation_enthalpy_0k_mev_per_atom": -672, "n_ef_per_ev_atom": 0.406, "magmom_total_mub_per_fu": 0.0, "vol_a3_per_atom": 19.1, "cell": [[4.349, 0.000, 0.000], [0.000, 4.349, 0.000], [0.000, 0.000, 10.101]], "species": ["Sr", "Sr", "Ag", "P", "P", "P", "Pd", "Pd", "Pd", "Pd"], "fractional_positions": [[0.000, 0.500, 0.250], [0.500, 0.000, 0.750], [0.000, 0.000, 0.500], [0.000, 0.500, 0.878], [0.500, 0.000, 0.122], [0.500, 0.500, 0.500], [0.000, 0.000, 0.000], [0.000, 0.500, 0.647], [0.500, 0.000, 0.353], [0.500, 0.500, 0.000]]}



[2]
{"formula": "Sr3AgP2Pd9", "functional": "GGA-PBE", "state": "optimized geometry", "final_energy_ev_per_atom": -4.85, "formation_enthalpy_0k_mev_per_atom": -485, "n_ef_per_ev_atom": 0.607, "magmom_total_mub_per_fu": 0.0, "vol_a3_per_atom": 21.6, "cell": [[7.044, 0.000, 0.000], [-3.522, 6.100, 0.000], [0.000, 0.000, 7.524]], "species": ["Sr", "Sr", "Sr", "Ag", "P", "P", "Pd", "Pd", "Pd", "Pd", "Pd", "Pd", "Pd", "Pd", "Pd"], "fractional_positions": [[0.000, 0.000, 0.000], [0.333, 0.667, 0.670], [0.667, 0.333, 0.330], [0.000, 0.000, 0.500], [0.333, 0.667, 0.139], [0.667, 0.333, 0.861], [0.000, 0.500, 0.000], [0.187, 0.375, 0.326], [0.187, 0.813, 0.326], [0.375, 0.187, 0.674], [0.500, 0.000, 0.000], [0.500, 0.500, 0.000], [0.625, 0.813, 0.326], [0.813, 0.187, 0.674], [0.813, 0.625, 0.674]]}



[3]
{"formula": "TaAgP2Pd", "functional": "GGA-PBE", "state": "optimized geometry", "final_energy_ev_per_atom": -5.05, "formation_enthalpy_0k_mev_per_atom": 1091, "n_ef_per_ev_atom": 1.051, "magmom_total_mub_per_fu": 1.3, "vol_a3_per_atom": 20.0, "cell": [[4.533, 0.000, 0.000], [0.000, 4.533, 0.000], [0.000, 0.000, 4.864]], "species": ["Ta", "Ag", "P", "P", "Pd"], "fractional_positions": [[0.000, 0.000, 0.000], [0.500, 0.500, 0.000], [0.000, 0.500, 0.500], [0.500, 0.000, 0.500], [0.500, 0.500, 0.500]]}



[4]
{"formula": "TiAgP2Pd", "functional": "GGA-PBE", "state": "optimized geometry", "final_energy_ev_per_atom": -4.34, "formation_enthalpy_0k_mev_per_atom": 1009, "n_ef_per_ev_atom": 1.367, "magmom_total_mub_per_fu": 0.0, "vol_a3_per_atom": 21.0, "cell": [[4.646, 0.000, 0.000], [0.000, 4.646, 0.000], [0.000, 0.000, 4.855]], "species": ["Ti", "Ag", "P", "P", "Pd"], "fractional_positions": [[0.000, 0.000, 0.000], [0.500, 0.500, 0.500], [0.000, 0.500, 0.500], [0.500, 0.000, 0.500], [0.500, 0.500, 0.000]]}



[5]
{"formula": "PmAgP2", "functional": "GGA-PBE", "state": "optimized geometry", "final_energy_ev_per_atom": -4.94, "formation_enthalpy_0k_mev_per_atom": -330, "n_ef_per_ev_atom": 1.281, "magmom_total_mub_per_fu": 0.0, "vol_a3_per_atom": 19.8, "de_polymorph_mev_per_atom": 117.5, "cell": [[0.000, 3.409, 3.409], [3.409, 0.000, 3.409], [3.409, 3.409, 0.000]], "species": ["Pm", "Ag", "P", "P"], "fractional_positions": [[0.000, 0.000, 0.000], [0.500, 0.500, 0.500], [0.250, 0.250, 0.250], [0.750, 0.750, 0.750]]}



[6]
{"formula": "Pm3AgP", "functional": "GGA-PBE", "state": "optimized geometry", "final_energy_ev_per_atom": -4.86, "formation_enthalpy_0k_mev_per_atom": -362, "n_ef_per_ev_atom": 1.820, "magmom_total_mub_per_fu": 0.0, "vol_a3_per_atom": 32.0, "cell": [[5.430, 0.000, 0.000], [0.000, 5.430, 0.000], [0.000, 0.000, 5.430]], "species": ["Pm", "Pm", "Pm", "Ag", "P"], "fractional_positions": [[0.000, 0.000, 0.500], [0.000, 0.500, 0.000], [0.500, 0.000, 0.000], [0.500, 0.500, 0.500], [0.000, 0.000, 0.000]]}



[7]
{"formula": "PmAgP2", "functional": "GGA-PBE", "state": "optimized geometry", "final_energy_ev_per_atom": -5.02, "formation_enthalpy_0k_mev_per_atom": -415, "n_ef_per_ev_atom": 0.342, "magmom_total_mub_per_fu": 0.0, "vol_a3_per_atom": 20.0, "de_polymorph_mev_per_atom": 33.1, "cell": [[2.223, 1.283, 4.678], [-2.223, 1.283, 4.678], [0.000, -2.567, 4.678]], "species": ["Pm", "Ag", "P", "P"], "fractional_positions": [[0.000, 0.000, 0.000], [0.500, 0.500, 0.500], [0.219, 0.219, 0.219], [0.781, 0.781, 0.781]]}



[8]
{"formula": "PmAgP", "functional": "GGA-PBE", "state": "optimized geometry", "final_energy_ev_per_atom": -4.78, "formation_enthalpy_0k_mev_per_atom": -442, "n_ef_per_ev_atom": 0.329, "magmom_total_mub_per_fu": 0.0, "vol_a3_per_atom": 23.6, "de_polymorph_mev_per_atom": 307.5, "cell": [[-1.946, 1.946, 4.676], [1.946, -1.946, 4.676], [1.946, 1.946, -4.676]], "species": ["Pm", "Ag", "P"], "fractional_positions": [[0.000, 0.000, 0.000], [0.684, 0.684, 0.000], [0.400, 0.400, 0.000]]}



[9]
{"formula": "Pm4Ag2P", "functional": "GGA-PBE", "state": "optimized geometry", "final_energy_ev_per_atom": -4.66, "formation_enthalpy_0k_mev_per_atom": -358, "n_ef_per_ev_atom": 1.348, "magmom_total_mub_per_fu": 0.0, "vol_a3_per_atom": 31.1, "cell": [[-2.736, 2.736, 7.271], [2.736, -2.736, 7.271], [2.736, 2.736, -7.271]], "species": ["Pm", "Pm", "Pm", "Pm", "Ag", "Ag", "P"], "fractional_positions": [[0.000, 0.500, 0.500], [0.190, 0.190, 0.000], [0.500, 0.000, 0.500], [0.810, 0.810, 0.000], [0.392, 0.392, 0.000], [0.608, 0.608, 0.000], [0.000, 0.000, 0.000]]}



[10]
{"formula": "PmAgP", "functional": "GGA-PBE", "state": "optimized geometry", "final_energy_ev_per_atom": -5.09, "formation_enthalpy_0k_mev_per_atom": -749, "n_ef_per_ev_atom": 0.711, "magmom_total_mub_per_fu": 0.0, "vol_a3_per_atom": 21.4, "de_polymorph_mev_per_atom": 0.0, "cell": [[4.275, 0.000, 0.000], [-2.138, 3.702, 0.000], [0.000, 0.000, 4.048]], "species": ["Pm", "Ag", "P"], "fractional_positions": [[0.000, 0.000, 0.000], [0.667, 0.333, 0.499], [0.333, 0.667, 0.501]]}



[11]
{"formula": "PmAgP2", "functional": "GGA-PBE", "state": "optimized geometry", "final_energy_ev_per_atom": -5.05, "formation_enthalpy_0k_mev_per_atom": -448, "n_ef_per_ev_atom": 0.615, "magmom_total_mub_per_fu": 0.0, "vol_a3_per_atom": 19.6, "de_polymorph_mev_per_atom": 0.0, "cell": [[4.544, 0.000, 0.000], [0.000, 4.544, 0.000], [0.000, 0.000, 3.805]], "species": ["Pm", "Ag", "P", "P"], "fractional_positions": [[0.000, 0.000, 0.000], [0.500, 0.500, 0.000], [0.000, 0.500, 0.500], [0.500, 0.000, 0.500]]}



[12]
{"formula": "PmAgP", "functional": "GGA-PBE", "state": "optimized geometry", "final_energy_ev_per_atom": -4.95, "formation_enthalpy_0k_mev_per_atom": -614, "n_ef_per_ev_atom": 0.607, "magmom_total_mub_per_fu": 0.0, "vol_a3_per_atom": 23.1, "de_polymorph_mev_per_atom": 134.9, "cell": [[0.000, 3.261, 3.261], [3.261, 0.000, 3.261], [3.261, 3.261, 0.000]], "species": ["Pm", "Ag", "P"], "fractional_positions": [[0.000, 0.000, 0.000], [0.500, 0.500, 0.500], [0.750, 0.750, 0.750]]}



[13]
{"formula": "Pm2AgP3Pt4", "functional": "GGA-PBE", "state": "optimized geometry", "final_energy_ev_per_atom": -6.09, "formation_enthalpy_0k_mev_per_atom": -818, "n_ef_per_ev_atom": 0.626, "magmom_total_mub_per_fu": 0.0, "vol_a3_per_atom": 18.4, "cell": [[4.178, 0.000, 0.000], [0.000, 4.178, 0.000], [0.000, 0.000, 10.535]], "species": ["Pm", "Pm", "Ag", "P", "P", "P", "Pt", "Pt", "Pt", "Pt"], "fractional_positions": [[0.000, 0.500, 0.240], [0.500, 0.000, 0.760], [0.000, 0.000, 0.500], [0.000, 0.500, 0.873], [0.500, 0.000, 0.127], [0.500, 0.500, 0.500], [0.000, 0.000, 0.000], [0.000, 0.500, 0.657], [0.500, 0.000, 0.343], [0.500, 0.500, 0.000]]}



[14]
{"formula": "PmPuAgP", "functional": "GGA-PBE", "state": "optimized geometry", "final_energy_ev_per_atom": -7.31, "formation_enthalpy_0k_mev_per_atom": -473, "n_ef_per_ev_atom": 2.497, "magmom_total_mub_per_fu": 7.0, "vol_a3_per_atom": 23.2, "cell": [[0.000, 3.594, 3.594], [3.594, 0.000, 3.594], [3.594, 3.594, 0.000]], "species": ["Pm", "Pu", "Ag", "P"], "fractional_positions": [[0.000, 0.000, 0.000], [0.500, 0.500, 0.500], [0.250, 0.250, 0.250], [0.750, 0.750, 0.750]]}